Entry 1:
Computed, not measured: a geometry-optimized TlBi2Au structure at the PBE level of DFT.

Lattice parameters (Å, degrees): 5.487 4.480 5.540 90.00 112.49 90.00
Positions (direct):
Tl: 0.000 0.000 0.000
Bi: 0.304 0.500 0.696
Bi: 0.696 0.500 0.304
Au: 0.500 0.000 0.500

Results
DOS at the Fermi energy = 0.516 states/eV/atom
E_tot = -3.374 eV per atom
space-group type = No. 10
total magnetic moment = 0.00 μB/atom
formation enthalpy at 0 K = -0.02 eV/atom

Entry 2:
Computed, not measured: a geometry-optimized ScFeSi2 structure at the PBE level of DFT.

Lattice parameters (Å, degrees): 4.372 4.372 4.882 103.14 103.14 41.17
Positions (direct):
Sc: 0.000 0.000 0.000
Fe: 0.754 0.754 0.337
Si: 0.231 0.231 0.676
Si: 0.484 0.484 0.476

Results
DOS at the Fermi energy = 0.612 states/eV/atom
E_tot = -6.683 eV per atom
formation energy without anion corrections = -1.09 eV per formula unit
space-group type = No. 8
total magnetic moment = 0.00 μB/atom

Entry 3:
Computed, not measured: a geometry-optimized Ca6As3H2 structure at the PBE level of DFT.

Lattice parameters (Å, degrees): 12.173 12.173 12.173 158.15 158.15 31.10
Positions (direct):
Ca: 0.081 0.581 0.500
Ca: 0.202 0.202 0.000
Ca: 0.419 0.919 0.500
Ca: 0.581 0.081 0.500
Ca: 0.798 0.798 0.000
Ca: 0.919 0.419 0.500
As: 0.328 0.328 0.000
As: 0.500 0.500 0.000
As: 0.672 0.672 0.000
H: 0.099 0.099 0.000
H: 0.901 0.901 0.000

Results
DOS at the Fermi energy = 0.215 states/eV/atom
E_tot = -3.902 eV per atom
space-group type = No. 139
total magnetic moment = 0.00 μB/atom